Here is a geometry-optimized PrNd2Fe structure from the Alexandria database. Energies are from GGA-PBE.

Summary:
* distance to the lowest polymorph of the same formula: 200 meV/atom

Cell: 3.6047 3.6047 32.6762 Å, 90.00 90.00 120.00°
Sites, in units of the cell vectors:
1 Pr 0.0000 0.0000 0.0000
2 Pr 0.3333 0.6667 0.6667
3 Pr 0.6667 0.3333 0.3333
4 Nd 0.0000 0.0000 0.1089
5 Nd 0.0000 0.0000 0.8911
6 Nd 0.3333 0.6667 0.5578
7 Nd 0.3333 0.6667 0.7756
8 Nd 0.6667 0.3333 0.2244
9 Nd 0.6667 0.3333 0.4422
10 Fe 0.0000 0.0000 0.5000
11 Fe 0.3333 0.6667 0.1667
12 Fe 0.6667 0.3333 0.8333

Here is a geometry-optimized Ba2CdSn3Hg4 structure from the Alexandria database. Energies are from GGA-PBE.

Cell: 4.9850 4.9850 12.1334 Å, 90.00 90.00 90.00°
Sites, in units of the cell vectors:
1 Ba 0.0000 0.5000 0.2413
2 Ba 0.5000 0.0000 0.7587
3 Cd 0.0000 0.0000 0.5000
4 Sn 0.0000 0.5000 0.8669
5 Sn 0.5000 0.0000 0.1331
6 Sn 0.5000 0.5000 0.5000
7 Hg 0.0000 0.0000 0.0000
8 Hg 0.0000 0.5000 0.6328
9 Hg 0.5000 0.0000 0.3672
10 Hg 0.5000 0.5000 0.0000

Here is a geometry-optimized SrMgMo2 structure from the Alexandria database. Energies are from GGA-PBE.

Cell: 4.2103 4.2103 20.8413 Å, 90.00 90.00 90.00°
Sites, in units of the cell vectors:
1 Sr 0.0000 0.0000 0.0000
2 Sr 0.0000 0.5000 0.2500
3 Sr 0.5000 0.0000 0.7500
4 Sr 0.5000 0.5000 0.5000
5 Mg 0.0000 0.0000 0.5000
6 Mg 0.0000 0.5000 0.7500
7 Mg 0.5000 0.0000 0.2500
8 Mg 0.5000 0.5000 0.0000
9 Mo 0.1711 0.2500 0.6250
10 Mo 0.2500 0.6711 0.8750
11 Mo 0.2500 0.8289 0.3750
12 Mo 0.3289 0.2500 0.1250
13 Mo 0.6711 0.7500 0.1250
14 Mo 0.7500 0.1711 0.3750
15 Mo 0.7500 0.3289 0.8750
16 Mo 0.8289 0.7500 0.6250

| no. | ΔE_f (eV/atom) | total magnetic moment (μB per formula unit) | energy (eV per atom) |
| --- | --- | --- | --- |
| 1 | 0.369 | 1.06 | -5.326 |
| 2 | -0.382 | 0.00 | -2.180 |
| 3 | 1.133 | 0.00 | -5.102 |